Record 1
Compound: Mg3CO4
Source: Alexandria
Functional: GGA-PBE
Structure: relaxed

As for the crystal system: cubic. Its total moment is 0.00 μB/f.u. Its uncorrected formation energy is -11.796 eV per formula unit.

It has space group Pm-3m (No. 221), with a = 4.1955 Å, b = 4.1955 Å, c = 4.1955 Å, α = 90.00°, β = 90.00° and γ = 90.00°. The asymmetric unit holds Mg at (0.0000, 0.0000, 0.5000), C at (0.5000, 0.5000, 0.5000), O at (0.0000, 0.0000, 0.0000) and O at (0.0000, 0.5000, 0.5000).

Record 2
Compound: MgCO3
Source: Alexandria
Functional: GGA-PBE
Structure: relaxed

As for the crystal system: cubic. Its total moment is 2.00 μB/f.u. Its uncorrected formation energy is 5.033 eV per formula unit.

It has space group Pm-3m (No. 221), with a = 3.8384 Å, b = 3.8384 Å, c = 3.8384 Å, α = 90.00°, β = 90.00° and γ = 90.00°. The asymmetric unit holds Mg at (0.0000, 0.0000, 0.0000), C at (0.5000, 0.5000, 0.5000) and O at (0.0000, 0.0000, 0.5000).

Record 3
Compound: MgPCO2
Source: Alexandria
Functional: GGA-PBE
Structure: relaxed

As for the crystal system: tetragonal. Its total moment is 2.35 μB/f.u. Its uncorrected formation energy is 5.262 eV per formula unit.

It has space group P4/mmm (No. 123), with a = 3.6509 Å, b = 3.6509 Å, c = 5.8949 Å, α = 90.00°, β = 90.00° and γ = 90.00°. The asymmetric unit holds Mg at (0.0000, 0.0000, 0.0000), P at (0.0000, 0.0000, 0.5000), C at (0.5000, 0.5000, 0.5000) and O at (0.0000, 0.5000, 0.0000).

Record 4
Compound: MgP2CO
Source: Alexandria
Functional: GGA-PBE
Structure: relaxed

As for the crystal system: tetragonal. Its total moment is 0.77 μB/f.u. Its uncorrected formation energy is 8.266 eV per formula unit.

It has space group P4/mmm (No. 123), with a = 4.8949 Å, b = 4.8949 Å, c = 3.5664 Å, α = 90.00°, β = 90.00° and γ = 90.00°. The asymmetric unit holds Mg at (0.0000, 0.0000, 0.0000), P at (0.0000, 0.5000, 0.0000), C at (0.5000, 0.5000, 0.5000) and O at (0.0000, 0.0000, 0.5000).

Record 5
Compound: MgPCO2
Source: Alexandria
Functional: GGA-PBE
Structure: relaxed

As for the crystal system: tetragonal. Its total moment is 0.00 μB/f.u. Its uncorrected formation energy is 2.757 eV per formula unit.

It has space group P4/mmm (No. 123), with a = 4.0250 Å, b = 4.0250 Å, c = 3.4635 Å, α = 90.00°, β = 90.00° and γ = 90.00°. The asymmetric unit holds Mg at (0.0000, 0.0000, 0.0000), P at (0.5000, 0.5000, 0.0000), C at (0.5000, 0.5000, 0.5000) and O at (0.0000, 0.5000, 0.5000).

Record 6
Compound: MgP2CO
Source: Alexandria
Functional: GGA-PBE
Structure: relaxed

As for the crystal system: tetragonal. Its total moment is 0.00 μB/f.u. Its uncorrected formation energy is 3.552 eV per formula unit.

It has space group P4/mmm (No. 123), with a = 3.6636 Å, b = 3.6636 Å, c = 5.2333 Å, α = 90.00°, β = 90.00° and γ = 90.00°. The asymmetric unit holds Mg at (0.0000, 0.0000, 0.0000), P at (0.0000, 0.5000, 0.5000), C at (0.5000, 0.5000, 0.5000) and O at (0.5000, 0.5000, 0.0000).

Record 7
Compound: MgPbC2O6
Source: Alexandria
Functional: GGA-PBE
Structure: relaxed

As for the crystal system: trigonal. Its total moment is 0.00 μB/f.u. Its uncorrected formation energy is -17.156 eV per formula unit.

It has space group R-3 (No. 148, hexagonal axes), with a = 4.9897 Å, b = 4.9897 Å, c = 16.8205 Å, α = 90.00°, β = 90.00° and γ = 120.00°. The asymmetric unit holds Mg at (0.0000, 0.0000, 0.0000), Pb at (0.0000, 0.0000, 0.5000), C at (0.0000, 0.0000, 0.2611) and O at (0.0480, 0.6053, 0.4070).

Record 8
Compound: Mg3PbC4O12
Source: Alexandria
Functional: GGA-PBE
Structure: relaxed

As for the crystal system: trigonal. Its total moment is 0.00 μB/f.u. Its uncorrected formation energy is -37.232 eV per formula unit.

It has space group R32 (No. 155, hexagonal axes), with a = 9.7069 Å, b = 9.7069 Å, c = 8.0672 Å, α = 90.00°, β = 90.00° and γ = 120.00°. The asymmetric unit holds Mg at (0.0000, 0.5459, 0.0000), Pb at (0.0000, 0.0000, 0.0000), C at (0.0000, 0.0000, 0.5000), C at (0.0000, 0.4536, 0.5000), O at (0.0000, 0.5884, 0.5000), O at (0.0000, 0.8658, 0.5000) and O at (0.0106, 0.2125, 0.1923).

Record 9
Compound: PmMg3C4O12
Source: Alexandria
Functional: GGA-PBE
Structure: relaxed

As for the crystal system: trigonal. Its total moment is 1.02 μB/f.u. Its uncorrected formation energy is -39.863 eV per formula unit.

It has space group R32 (No. 155, hexagonal axes), with a = 9.6289 Å, b = 9.6289 Å, c = 7.9466 Å, α = 90.00°, β = 90.00° and γ = 120.00°. The asymmetric unit holds Pm at (0.0000, 0.0000, 0.0000), Mg at (0.0000, 0.5450, 0.0000), C at (0.0000, 0.0000, 0.5000), C at (0.0000, 0.4541, 0.5000), O at (0.0000, 0.5905, 0.5000), O at (0.0000, 0.8649, 0.5000) and O at (0.0138, 0.2103, 0.1783).

Record 10
Compound: PrMg3C4O12
Source: Alexandria
Functional: GGA-PBE
Structure: relaxed

As for the crystal system: trigonal. Its total moment is 1.03 μB/f.u. Its uncorrected formation energy is -39.747 eV per formula unit.

It has space group R32 (No. 155, hexagonal axes), with a = 9.6616 Å, b = 9.6616 Å, c = 7.9781 Å, α = 90.00°, β = 90.00° and γ = 120.00°. The asymmetric unit holds Pr at (0.0000, 0.0000, 0.0000), Mg at (0.0000, 0.5458, 0.0000), C at (0.0000, 0.0000, 0.5000), C at (0.0000, 0.4529, 0.5000), O at (0.0000, 0.5892, 0.5000), O at (0.0000, 0.8652, 0.5000) and O at (0.0145, 0.2120, 0.1805).

Record 11
Compound: RbMg6CO8
Source: Alexandria
Functional: GGA-PBE
Structure: relaxed

As for the crystal system: tetragonal. Its total moment is 0.24 μB/f.u. Its uncorrected formation energy is -24.274 eV per formula unit.

It has space group P4/mmm (No. 123), with a = 4.3839 Å, b = 4.3839 Å, c = 9.0281 Å, α = 90.00°, β = 90.00° and γ = 90.00°. The asymmetric unit holds Rb at (0.0000, 0.0000, 0.0000), Mg at (0.0000, 0.0000, 0.5000), Mg at (0.0000, 0.5000, 0.2633), Mg at (0.5000, 0.5000, 0.5000), C at (0.5000, 0.5000, 0.0000), O at (0.0000, 0.0000, 0.2799), O at (0.0000, 0.5000, 0.0000), O at (0.0000, 0.5000, 0.5000) and O at (0.5000, 0.5000, 0.2523).

Record 12
Compound: RbMg3C4O12
Source: Alexandria
Functional: GGA-PBE
Structure: relaxed

As for the crystal system: trigonal. Its total moment is 1.10 μB/f.u. Its uncorrected formation energy is -36.795 eV per formula unit.

It has space group R32 (No. 155, hexagonal axes), with a = 9.6570 Å, b = 9.6570 Å, c = 8.5330 Å, α = 90.00°, β = 90.00° and γ = 120.00°. The asymmetric unit holds Rb at (0.0000, 0.0000, 0.0000), Mg at (0.0000, 0.5497, 0.0000), C at (0.0000, 0.0000, 0.5000), C at (0.0000, 0.4534, 0.5000), O at (0.0000, 0.5899, 0.5000), O at (0.0000, 0.8657, 0.5000) and O at (0.0067, 0.2148, 0.2128).

Record 13
Compound: RbMg6CO8
Source: Alexandria
Functional: GGA-PBE
Structure: relaxed

As for the crystal system: tetragonal. Its total moment is 0.51 μB/f.u. Its uncorrected formation energy is -26.859 eV per formula unit.

It has space group P4/mmm (No. 123), with a = 5.0660 Å, b = 5.0660 Å, c = 7.8450 Å, α = 90.00°, β = 90.00° and γ = 90.00°. The asymmetric unit holds Rb at (0.0000, 0.0000, 0.0000), Mg at (0.0000, 0.5000, 0.2555), Mg at (0.5000, 0.5000, 0.0000), Mg at (0.5000, 0.5000, 0.5000), C at (0.0000, 0.0000, 0.5000), O at (0.0000, 0.0000, 0.3441), O at (0.0000, 0.5000, 0.0000), O at (0.0000, 0.5000, 0.5000) and O at (0.5000, 0.5000, 0.2495).

Record 14
Compound: RbMgC2O6
Source: Alexandria
Functional: GGA-PBE
Structure: relaxed

As for the crystal system: monoclinic. Its total moment is 1.02 μB/f.u. Its uncorrected formation energy is -17.069 eV per formula unit.

It has space group C2/c (No. 15), with a = 8.6844 Å, b = 9.5961 Å, c = 7.1889 Å, α = 90.00°, β = 110.36° and γ = 90.00°. The asymmetric unit holds Rb at (0.0000, 0.1094, 0.2500), Mg at (0.0000, 0.3327, 0.7500), C at (0.2037, 0.3947, 0.1923), O at (0.0908, 0.3315, 0.0518), O at (0.1577, 0.1658, 0.7188) and O at (0.1787, 0.4823, 0.7472).

Record 15
Compound: Rb2MgCO4
Source: Alexandria
Functional: GGA-PBE
Structure: relaxed

As for the crystal system: orthorhombic. Its total moment is 0.00 μB/f.u. Its uncorrected formation energy is -12.998 eV per formula unit.

It has space group Fddd (No. 70, origin choice 2), with a = 4.7292 Å, b = 11.3567 Å, c = 21.3223 Å, α = 90.00°, β = 90.00° and γ = 90.00°. The asymmetric unit holds Rb at (0.1250, 0.1250, 0.3000), Mg at (0.1250, 0.1250, 0.1250), C at (0.1250, 0.1250, 0.6250) and O at (0.0511, 0.3016, 0.8366).

Record 16
Compound: MgCSO2
Source: Alexandria
Functional: GGA-PBE
Structure: relaxed

As for the crystal system: tetragonal. Its total moment is 0.22 μB/f.u. Its uncorrected formation energy is 1.942 eV per formula unit.

It has space group P4/mmm (No. 123), with a = 3.5590 Å, b = 3.5590 Å, c = 4.1214 Å, α = 90.00°, β = 90.00° and γ = 90.00°. The asymmetric unit holds Mg at (0.0000, 0.0000, 0.0000), C at (0.5000, 0.5000, 0.5000), S at (0.5000, 0.5000, 0.0000) and O at (0.0000, 0.5000, 0.5000).

Record 17
Compound: MgCSO2
Source: Alexandria
Functional: GGA-PBE
Structure: relaxed

As for the crystal system: tetragonal. Its total moment is 2.01 μB/f.u. Its uncorrected formation energy is 4.913 eV per formula unit.

It has space group P4/mmm (No. 123), with a = 3.7231 Å, b = 3.7231 Å, c = 5.5675 Å, α = 90.00°, β = 90.00° and γ = 90.00°. The asymmetric unit holds Mg at (0.0000, 0.0000, 0.0000), C at (0.5000, 0.5000, 0.5000), S at (0.0000, 0.0000, 0.5000) and O at (0.0000, 0.5000, 0.0000).

Record 18
Compound: SmMg3C4O12
Source: Alexandria
Functional: GGA-PBE
Structure: relaxed

As for the crystal system: trigonal. Its total moment is 1.02 μB/f.u. Its uncorrected formation energy is -39.866 eV per formula unit.

It has space group R32 (No. 155, hexagonal axes), with a = 9.6176 Å, b = 9.6176 Å, c = 7.9371 Å, α = 90.00°, β = 90.00° and γ = 120.00°. The asymmetric unit holds Sm at (0.0000, 0.0000, 0.0000), Mg at (0.0000, 0.5447, 0.0000), C at (0.0000, 0.0000, 0.5000), C at (0.0000, 0.4547, 0.5000), O at (0.0000, 0.5911, 0.5000), O at (0.0000, 0.8648, 0.5000) and O at (0.0135, 0.2096, 0.1777).

Record 19
Compound: Mg3SnC4O12
Source: Alexandria
Functional: GGA-PBE
Structure: relaxed

As for the crystal system: trigonal. Its total moment is 0.00 μB/f.u. Its uncorrected formation energy is -36.815 eV per formula unit.

It has space group R32 (No. 155, hexagonal axes), with a = 9.6813 Å, b = 9.6813 Å, c = 8.0227 Å, α = 90.00°, β = 90.00° and γ = 120.00°. The asymmetric unit holds Mg at (0.0000, 0.5452, 0.0000), Sn at (0.0000, 0.0000, 0.0000), C at (0.0000, 0.0000, 0.5000), C at (0.0000, 0.4549, 0.5000), O at (0.0000, 0.5897, 0.5000), O at (0.0000, 0.8656, 0.5000) and O at (0.0100, 0.2109, 0.1901).

Record 20
Compound: Mg6SnCO8
Source: Alexandria
Functional: GGA-PBE
Structure: relaxed

As for the crystal system: tetragonal. Its total moment is 0.51 μB/f.u. Its uncorrected formation energy is -27.841 eV per formula unit.

It has space group P4/mmm (No. 123), with a = 4.3807 Å, b = 4.3807 Å, c = 8.7140 Å, α = 90.00°, β = 90.00° and γ = 90.00°. The asymmetric unit holds Mg at (0.0000, 0.0000, 0.0000), Mg at (0.0000, 0.5000, 0.2448), Mg at (0.5000, 0.5000, 0.0000), Sn at (0.0000, 0.0000, 0.5000), C at (0.5000, 0.5000, 0.5000), O at (0.0000, 0.0000, 0.2371), O at (0.0000, 0.5000, 0.0000), O at (0.0000, 0.5000, 0.5000) and O at (0.5000, 0.5000, 0.2400).